(1)
Computed, not measured: a PBEsol-optimized structure of La2ZnPd2 at the meta-GGA SCAN level of DFT.

The structure in POSCAR format:
```
La2ZnPd2
1.0
5.5356 0.0041 0.0059
-2.7030 4.8308 -0.0059
-2.7030 -1.6636 4.5353
Zn Pd La
1 2 2
Cartesian
0.0000 0.0000 0.0000 Zn
-3.6053 2.1122 3.0207 Pd
-1.8007 1.0549 1.5087 Pd
0.0648 3.2092 1.1324 La
0.0648 -0.0380 3.4029 La
```

Summary:
Energy of formation   -652 meV per atom
Density of states at the Fermi level   2.95 states/eV/cell
E_tot   -33.707 eV per atom

---

(2)
Computed, not measured: a PBEsol-optimized structure of YMo2Pt at the meta-GGA SCAN level of DFT.

The structure in POSCAR format:
```
YMo2Pt
1.0
-3.4174 -1.7026 0.3236
0.9223 -2.3924 -2.8475
1.8353 -3.0791 3.1814
Mo Pt Y
2 1 1
Cartesian
0.4612 -1.1962 -1.4238 Mo
-1.7087 -0.8513 0.1618 Mo
-0.3299 -3.5871 0.3287 Pt
0.9177 -1.5396 1.5907 Y
```

Summary:
Energy of formation   -83 meV per atom
Density of states at the Fermi level   3.08 states/eV/cell
E_tot   -42.035 eV per atom
E above lowest polymorph   0 meV/atom

---

(3)
Computed, not measured: a PBEsol-optimized structure of CaMgCu2 at the meta-GGA SCAN level of DFT.

The structure in POSCAR format:
```
CaMgCu2
1.0
4.4227 0.0000 0.0000
-2.2113 5.3737 0.0000
0.0000 0.0000 6.3279
Ca Cu Mg
2 4 2
Cartesian
0.0000 0.8773 1.5820 Ca
2.2113 4.4964 4.7459 Ca
0.0000 4.2292 2.7572 Cu
2.2113 1.1446 5.9212 Cu
0.0000 4.2292 0.4067 Cu
2.2113 1.1446 3.5707 Cu
2.2113 3.0798 1.5820 Mg
0.0000 2.2939 4.7459 Mg
```

Summary:
Energy of formation   -66 meV per atom
Density of states at the Fermi level   3.35 states/eV/cell
E_tot   -11.325 eV per atom

---

(4)
Computed, not measured: a PBEsol-optimized structure of CaZnPb at the meta-GGA SCAN level of DFT.

The structure in POSCAR format:
```
CaZnPb
1.0
-2.1381 1.6088 -2.8135
-2.9846 -3.6052 0.2066
-0.6959 3.7741 2.6870
Pb Zn Ca
1 1 1
Cartesian
-2.6129 2.1828 0.3415 Pb
-3.1847 -0.4208 -0.2338 Zn
-0.0210 0.0158 -0.0277 Ca
```

Summary:
Energy of formation   -455 meV per atom
Density of states at the Fermi level   1.06 states/eV/cell
E_tot   -33.442 eV per atom

---

(5)
Computed, not measured: a PBEsol-optimized structure of BaMoW2 at the meta-GGA SCAN level of DFT.

The structure in POSCAR format:
```
BaMoW2
1.0
2.8849 -0.0062 0.0000
-1.0186 2.6990 0.0000
0.0000 0.0000 10.0384
Ba Mo W
1 1 2
Cartesian
0.0000 0.0000 5.0136 Ba
0.9331 1.3464 2.0544 Mo
0.0000 0.0000 0.0113 W
0.9331 1.3464 7.9783 W
```

Summary:
Energy of formation   968 meV per atom
Density of states at the Fermi level   2.82 states/eV/cell
E_tot   -52.485 eV per atom
E above lowest polymorph   39 meV/atom

---

(6)
Computed, not measured: a PBEsol-optimized structure of CoPbSe2N at the meta-GGA SCAN level of DFT.

The structure in POSCAR format:
```
CoPbSe2N
1.0
3.4270 0.0000 0.0000
0.0000 5.0753 0.0000
0.0000 0.0000 5.0753
Pb Co Se N
1 1 2 1
Cartesian
1.7135 2.5376 2.5376 Pb
0.0000 0.0000 0.0000 Co
0.0000 0.0000 2.5376 Se
0.0000 2.5376 0.0000 Se
1.7135 0.0000 0.0000 N
```

Summary:
Formation energy without anion corrections   103 kJ/mol of formula units
Density of states at the Fermi level   2.70 states/eV/cell
E_tot   -28.293 eV per atom

---

(7)
Computed, not measured: a PBEsol-optimized structure of AgPt2 at the meta-GGA SCAN level of DFT.

The structure in POSCAR format:
```
AgPt2
1.0
3.9507 0.0000 0.0000
0.0000 3.9507 0.0000
-1.9754 -1.9754 11.7904
Pt Ag
8 4
Cartesian
1.9754 1.9754 5.8859 Pt
0.0000 0.0000 5.9045 Pt
1.9754 0.0000 11.7811 Pt
1.9754 0.0000 0.0093 Pt
1.9754 1.9754 1.9479 Pt
0.0000 0.0000 9.8425 Pt
1.9754 0.0000 7.8431 Pt
1.9754 0.0000 3.9473 Pt
1.9754 1.9754 9.8188 Ag
0.0000 0.0000 1.9716 Ag
0.0000 1.9754 3.9236 Ag
0.0000 1.9754 7.8668 Ag
```

Summary:
Energy of formation   56 meV per atom
Density of states at the Fermi level   12.22 states/eV/cell
E_tot   -57.195 eV per atom
E above lowest polymorph   58 meV/atom

---

(8)
Computed, not measured: a PBEsol-optimized structure of NiPRu2 at the meta-GGA SCAN level of DFT.

The structure in POSCAR format:
```
NiPRu2
1.0
-0.8662 -1.4159 2.2641
3.3926 -0.1331 1.2148
-0.3403 4.7990 1.4761
Ni P Ru
1 1 2
Cartesian
1.2632 -0.7745 1.7395 Ni
1.0931 1.6250 2.4775 P
-0.9983 2.3252 3.0429 Ru
-0.2082 1.0579 0.6973 Ru
```

Summary:
Energy of formation   -138 meV per atom
Density of states at the Fermi level   2.58 states/eV/cell
E_tot   -24.194 eV per atom